No. 1
# RbAsI2F, relaxed, DFT PBE
data_RbAsI2F
_chemical_formula_sum 'Rb1 As1 I2 F1'
_symmetry_space_group_name_H-M 'P 4/m m m'
_symmetry_Int_Tables_number 123
_symmetry_space_group_name_Hall '-P 4 2'
_cell_length_a 6.132
_cell_length_b 6.132
_cell_length_c 4.288
_cell_angle_alpha 90.00
_cell_angle_beta 90.00
_cell_angle_gamma 90.00
loop_
_atom_site_label
_atom_site_fract_x
_atom_site_fract_y
_atom_site_fract_z
Rb1 0.000 0.000 0.000
As1 0.500 0.500 0.500
I1 0.000 0.500 0.500
F1 0.500 0.500 0.000
# * DOS at the Fermi energy: 2.12 states/eV per cell
# * ΔE_f (raw): -1.002 eV/atom
# * final energy: -15.60 eV/cell

No. 2
# ZrTaIn, relaxed, DFT PBE
data_ZrTaIn
_chemical_formula_sum 'Zr8 Ta8 In8'
_symmetry_space_group_name_H-M 'F m m m'
_symmetry_Int_Tables_number 69
_symmetry_space_group_name_Hall '-F 2 2'
_cell_length_a 5.563
_cell_length_b 9.327
_cell_length_c 9.809
_cell_angle_alpha 90.00
_cell_angle_beta 90.00
_cell_angle_gamma 90.00
loop_
_atom_site_label
_atom_site_fract_x
_atom_site_fract_y
_atom_site_fract_z
Zr1 0.000 0.153 0.000
Ta1 0.000 0.000 0.361
In1 0.250 0.250 0.250
# * DFT formation energy: 0.1011 eV per atom
# * DOS at the Fermi energy: 13.87 states/eV per cell
# * final energy: -182.69 eV/cell

No. 3
# MgBeCl, relaxed, DFT PBE
data_MgBeCl
_chemical_formula_sum 'Mg2 Be2 Cl2'
_symmetry_space_group_name_H-M 'P 1'
_symmetry_Int_Tables_number 1
_cell_length_a 3.465
_cell_length_b 3.611
_cell_length_c 10.744
_cell_angle_alpha 99.62
_cell_angle_beta 90.36
_cell_angle_gamma 116.44
loop_
_symmetry_equiv_pos_as_xyz
'x,y,z'
loop_
_atom_site_label
_atom_site_fract_x
_atom_site_fract_y
_atom_site_fract_z
Mg1 0.000 0.000 0.000
Mg2 0.118 0.238 0.373
Be1 0.396 0.816 0.187
Be2 0.734 0.454 0.187
Cl1 0.622 0.259 0.863
Cl2 0.825 0.668 0.510
# * DOS at the Fermi energy: 2.33 states/eV per cell
# * ΔE_f (raw): -0.562 eV/atom
# * final energy: -17.70 eV/cell

No. 4
# TiTl3Mo, relaxed, DFT PBE
data_TiTl3Mo
_chemical_formula_sum 'Ti1 Tl3 Mo1'
_symmetry_space_group_name_H-M 'P m -3 m'
_symmetry_Int_Tables_number 221
_symmetry_space_group_name_Hall '-P 4 2 3'
_cell_length_a 5.329
_cell_length_b 5.329
_cell_length_c 5.329
_cell_angle_alpha 90.00
_cell_angle_beta 90.00
_cell_angle_gamma 90.00
loop_
_atom_site_label
_atom_site_fract_x
_atom_site_fract_y
_atom_site_fract_z
Ti1 0.000 0.000 0.000
Tl1 0.000 0.500 0.500
Mo1 0.500 0.500 0.500
# * DFT formation energy: 1.2147 eV per atom
# * DOS at the Fermi energy: 13.83 states/eV per cell
# * final energy: -19.75 eV/cell

The highest final energy belongs to which entry? RbAsI2F

Number 3 is which compound? MgBeCl